No. 1
Material: Zr2Mo
Method: DFT, PBE
State: optimized geometry

a b c (Å): 4.801 4.825 5.657
angles (deg): 90.00 111.62 90.00
Space group C2/m (No. 12)
Asymmetric unit:
Zr  0.161  0.000  0.301 [4 per cell]
Mo  0.000  0.500  0.000 [2 per cell]

Properties
E_form	0.0	eV per formula unit
uncorrected energy	-9.30	eV per atom

***

No. 2
Material: LaTm2VN4
Method: DFT, PBE
State: optimized geometry

a b c (Å): 3.379 11.747 11.621
angles (deg): 90.00 90.00 90.00
Space group Cmcm (No. 63)
Asymmetric unit:
La  0.000  0.083  0.250 [4 per cell]
Tm  0.000  0.371  0.042 [8 per cell]
V  0.000  0.176  0.750 [4 per cell]
N  0.000  0.000  0.000 [4 per cell]
N  0.000  0.262  0.621 [8 per cell]
N  0.000  0.419  0.250 [4 per cell]

Properties
uncorrected energy	-8.49	eV per atom
uncorrected formation energy	-1449	meV per atom

***

No. 3
Material: Li2Pr4C
Method: DFT, PBE
State: optimized geometry

a b c (Å): 5.229 5.229 15.235
angles (deg): 90.00 90.00 90.00
Space group I4/mmm (No. 139)
Asymmetric unit:
Li  0.000  0.000  0.133 [4 per cell]
Pr  0.000  0.000  0.335 [4 per cell]
Pr  0.000  0.500  0.000 [4 per cell]
C  0.000  0.000  0.500 [2 per cell]

Properties
E_form	1.2	eV per formula unit
uncorrected energy	-4.42	eV per atom

***

No. 4
Material: TeSeO3
Method: DFT, PBE
State: optimized geometry

a b c (Å): 6.909 10.948 4.497
angles (deg): 90.00 90.00 90.00
Space group Cmc2_1 (No. 36)
Asymmetric unit:
Te  0.000  0.132  0.000 [4 per cell]
Se  0.000  0.366  0.699 [4 per cell]
O  0.000  0.067  0.606 [4 per cell]
O  0.189  0.348  0.437 [8 per cell]

Properties
uncorrected energy	-4.95	eV per atom
uncorrected formation energy	-652	meV per atom

***

No. 5
Material: Ce5DyPb5
Method: DFT, PBE
State: optimized geometry

a b c (Å): 14.455 6.400 8.833
angles (deg): 90.00 107.83 90.00
Space group C2/m (No. 12)
Asymmetric unit:
Ce  0.000  0.000  0.000 [2 per cell]
Ce  0.165  0.500  0.330 [4 per cell]
Ce  0.165  0.500  0.835 [4 per cell]
Dy  0.000  0.000  0.500 [2 per cell]
Pb  0.000  0.500  0.500 [2 per cell]
Pb  0.165  0.000  0.834 [4 per cell]
Pb  0.167  0.000  0.332 [4 per cell]

Properties
E_form	-1.9	eV per formula unit
uncorrected energy	-4.97	eV per atom

***

No. 6
Material: LiCuSb2
Method: DFT, PBE
State: optimized geometry

a b c (Å): 11.011 3.165 4.794
angles (deg): 90.00 102.53 90.00
Space group Cm (No. 8)
Asymmetric unit:
Li  0.000  0.000  0.000 [2 per cell]
Cu  0.205  0.000  0.446 [2 per cell]
Sb  0.231  0.500  0.967 [2 per cell]
Sb  0.476  0.000  0.489 [2 per cell]

Properties
uncorrected energy	-3.62	eV per atom
uncorrected formation energy	-59	meV per atom